#1
Density functional theory data (PBEsol) for a geometry-optimized AlInSb2 structure.

abc: 7.085 4.091 7.369
angles: 90.00 108.78 90.00
Fractional coordinates of all 8 atoms:
Al 0.000 0.000 0.000
Al 0.500 0.500 0.000
In 0.000 0.500 0.500
In 0.500 0.000 0.500
Sb 0.242 0.500 0.224
Sb 0.258 0.000 0.776
Sb 0.742 0.000 0.224
Sb 0.758 0.500 0.776



#2
Density functional theory data (PBEsol) for a geometry-optimized AlInSb2 structure.

abc: 3.794 4.673 10.981
angles: 90.00 90.00 90.00
Fractional coordinates of all 8 atoms:
Al 0.000 0.000 0.000
Al 0.500 0.500 0.500
In 0.000 0.000 0.500
In 0.500 0.500 0.000
Sb 0.000 0.500 0.297
Sb 0.000 0.500 0.703
Sb 0.500 0.000 0.203
Sb 0.500 0.000 0.797



#1 wins, 105 meV per atom ahead of the next structure.



#1
Density functional theory data (PBEsol) for a geometry-optimized AlInSb2 structure.

abc: 4.479 4.479 6.333
angles: 90.00 90.00 90.00
Fractional coordinates of all 4 atoms:
Al 0.000 0.000 0.000
In 0.500 0.500 0.500
Sb 0.000 0.500 0.234
Sb 0.500 0.000 0.766



#2
Density functional theory data (PBEsol) for a geometry-optimized AlInSb2 structure.

abc: 3.965 4.115 12.360
angles: 90.00 90.00 90.00
Fractional coordinates of all 8 atoms:
Al 0.000 0.000 0.000
Al 0.500 0.500 0.500
In 0.000 0.500 0.736
In 0.500 0.000 0.236
Sb 0.000 0.000 0.550
Sb 0.000 0.500 0.331
Sb 0.500 0.000 0.831
Sb 0.500 0.500 0.050



#1 wins, 192 meV per atom ahead of the next structure.



#1
Density functional theory data (PBEsol) for a geometry-optimized AlInSb2 structure.

abc: 6.334 6.334 12.648
angles: 90.00 90.00 90.00
Fractional coordinates of all 16 atoms:
Al 0.000 0.000 0.000
Al 0.000 0.500 0.250
Al 0.500 0.000 0.750
Al 0.500 0.500 0.500
In 0.000 0.000 0.500
In 0.000 0.500 0.750
In 0.500 0.000 0.250
In 0.500 0.500 0.000
Sb 0.230 0.250 0.125
Sb 0.250 0.730 0.375
Sb 0.250 0.770 0.875
Sb 0.270 0.250 0.625
Sb 0.730 0.750 0.625
Sb 0.750 0.230 0.875
Sb 0.750 0.270 0.375
Sb 0.770 0.750 0.125



#2
Density functional theory data (PBEsol) for a geometry-optimized AlInSb2 structure.

abc: 7.311 7.311 7.311
angles: 90.00 90.00 90.00
Fractional coordinates of all 16 atoms:
Al 0.000 0.000 0.000
Al 0.000 0.500 0.500
Al 0.500 0.000 0.500
Al 0.500 0.500 0.000
In 0.250 0.250 0.250
In 0.250 0.750 0.750
In 0.750 0.250 0.750
In 0.750 0.750 0.250
Sb 0.000 0.000 0.500
Sb 0.000 0.500 0.000
Sb 0.250 0.250 0.750
Sb 0.250 0.750 0.250
Sb 0.500 0.000 0.000
Sb 0.500 0.500 0.500
Sb 0.750 0.250 0.250
Sb 0.750 0.750 0.750



#3
Density functional theory data (PBEsol) for a geometry-optimized AlInSb2 structure.

abc: 4.480 4.480 21.952
angles: 90.00 90.00 120.00
Fractional coordinates of all 12 atoms:
Al 0.000 0.000 0.000
Al 0.333 0.667 0.667
Al 0.667 0.333 0.333
In 0.000 0.000 0.501
In 0.333 0.667 0.168
In 0.667 0.333 0.834
Sb 0.000 0.000 0.121
Sb 0.000 0.000 0.629
Sb 0.333 0.667 0.296
Sb 0.333 0.667 0.788
Sb 0.667 0.333 0.455
Sb 0.667 0.333 0.963



#1 wins, 13 meV per atom ahead of the next structure.